Computed, not measured: a geometry-optimized Nd6S2N3Cl structure at the GGA-PBE level of DFT.

a = 8.8042 Å, b = 8.8042 Å, c = 7.9708 Å
α = 107.58°, β = 107.58°, γ = 24.67°
Closest atoms and distances in Å follow each position.
Fractional coordinates of all 12 atoms:
Nd 0.0117 0.0117 0.2171  3 N 2.52-2.56
Nd 0.3206 0.3206 0.4396  3 N 2.49-2.58
Nd 0.3402 0.3402 0.8960  3 N 2.59-2.61
Nd 0.6598 0.6598 0.1040  3 N 2.59-2.61
Nd 0.6794 0.6794 0.5604  3 N 2.49-2.58
Nd 0.9883 0.9883 0.7829  3 N 2.52-2.56
S 0.1627 0.1627 0.8255  6 Nd 2.91-2.93
S 0.8373 0.8373 0.1745  6 Nd 2.91-2.93
N 0.1681 0.1681 0.3332  6 Nd 2.49-2.59
N 0.5000 0.5000 0.0000  6 Nd 2.52-2.61
N 0.8319 0.8319 0.6668  6 Nd 2.49-2.59
Cl 0.5000 0.5000 0.5000  6 Nd 2.97-2.99

## Properties
**Size of the total moment**: 0.00 μB/f.u.
**Energy**: -6.975 eV per atom
**Formation energy (no corrections)**: -1.668 eV/atom

---

Computed, not measured: a geometry-optimized Si2PdPtSe structure at the GGA-PBE level of DFT.

a = 4.7472 Å, b = 4.7472 Å, c = 4.5891 Å
α = 90.00°, β = 90.00°, γ = 90.00°
Closest atoms and distances in Å follow each position.
Fractional coordinates of all 5 atoms:
Si 0.0000 0.5000 0.0000  2 Se 2.37
Si 0.5000 0.0000 0.0000  2 Se 2.37
Pd 0.0000 0.0000 0.5000  2 Se 2.29
Pt 0.5000 0.5000 0.5000  8 Si 3.30, 4 Pd 3.36
Se 0.0000 0.0000 0.0000  2 Pd 2.29, 4 Si 2.37

## Properties
**Size of the total moment**: 0.00 μB/f.u.
**Energy**: -4.175 eV per atom
**Formation energy (no corrections)**: 0.938 eV/atom

---

Computed, not measured: a geometry-optimized LiTmPt2 structure at the GGA-PBE level of DFT.

a = 4.1956 Å, b = 4.1956 Å, c = 3.8597 Å
α = 90.00°, β = 90.00°, γ = 90.00°
Closest atoms and distances in Å follow each position.
Fractional coordinates of all 4 atoms:
Li 0.0000 0.0000 0.0000  8 Pt 2.85, 4 Tm 2.97
Tm 0.5000 0.5000 0.0000  8 Pt 2.85, 4 Li 2.97
Pt 0.0000 0.5000 0.5000  4 Li 2.85, 4 Tm 2.85, 4 Pt 2.97
Pt 0.5000 0.0000 0.5000  4 Li 2.85, 4 Tm 2.85, 4 Pt 2.97

## Properties
**Size of the total moment**: 0.00 μB/f.u.
**Formation energy from the elements**: -4.009 eV/f.u.
**Distance to the lowest polymorph of the same formula**: 15 meV per atom
**Energy**: -5.619 eV per atom

---

Computed, not measured: a geometry-optimized BaLa2Ru structure at the GGA-PBE level of DFT.

a = 3.6405 Å, b = 3.8732 Å, c = 10.2744 Å
α = 90.00°, β = 98.15°, γ = 90.00°
Closest atoms and distances in Å follow each position.
Fractional coordinates of all 4 atoms:
Ba 0.0000 0.0000 0.0000  4 Ba 3.64-3.87
La 0.3859 0.5000 0.6607  2 Ru 2.79
La 0.6141 0.5000 0.3393  2 Ru 2.79
Ru 0.0000 0.0000 0.5000  4 La 2.79

## Properties
**Size of the total moment**: 0.00 μB/f.u.
**Formation energy from the elements**: -0.167 eV/f.u.
**Distance to the lowest polymorph of the same formula**: 144 meV per atom
**Energy**: -5.305 eV per atom

---

Computed, not measured: a geometry-optimized ReB3Br structure at the GGA-PBE level of DFT.

a = 4.2649 Å, b = 4.2649 Å, c = 4.2649 Å
α = 90.00°, β = 90.00°, γ = 90.00°
Closest atoms and distances in Å follow each position.
Fractional coordinates of all 5 atoms:
Re 0.0000 0.0000 0.0000  6 B 2.13
B 0.0000 0.0000 0.5000  2 Re 2.13
B 0.0000 0.5000 0.0000  2 Re 2.13
B 0.5000 0.0000 0.0000  2 Re 2.13
Br 0.5000 0.5000 0.5000  12 B 3.02

## Properties
**Size of the total moment**: 0.60 μB/f.u.
**Distance to the lowest polymorph of the same formula**: 0 meV per atom
**Energy**: -5.360 eV per atom
**Formation energy (no corrections)**: 1.471 eV/atom

---

Computed, not measured: a geometry-optimized Cs2GeBi structure at the GGA-PBE level of DFT.

a = 13.0382 Å, b = 6.9401 Å, c = 10.7023 Å
α = 90.00°, β = 113.72°, γ = 90.00°
Closest atoms and distances in Å follow each position.
Fractional coordinates of all 16 atoms:
Cs 0.1832 0.2439 0.0931  1 Bi 3.84, 2 Ge 3.95-3.99, 2 Cs 3.96
Cs 0.1832 0.2561 0.5931  1 Bi 3.84, 2 Ge 3.95-3.99, 2 Cs 3.96
Cs 0.2976 0.6216 0.9027  3 Ge 3.62-3.94, 2 Bi 3.68, 2 Cs 3.96
Cs 0.2976 0.8784 0.4027  3 Ge 3.62-3.94, 2 Bi 3.68, 2 Cs 3.96
Cs 0.7024 0.1216 0.5973  3 Ge 3.62-3.94, 2 Bi 3.68, 2 Cs 3.96
Cs 0.7024 0.3784 0.0973  3 Ge 3.62-3.94, 2 Bi 3.68, 2 Cs 3.96
Cs 0.8168 0.7439 0.4069  1 Bi 3.84, 2 Ge 3.95-3.99, 2 Cs 3.96
Cs 0.8168 0.7561 0.9069  1 Bi 3.84, 2 Ge 3.95-3.99, 2 Cs 3.96
Ge 0.4134 0.1032 0.9570  1 Ge 2.52
Ge 0.4134 0.3968 0.4570  1 Ge 2.52
Ge 0.5866 0.6032 0.5430  1 Ge 2.52
Ge 0.5866 0.8968 0.0430  1 Ge 2.52
Bi 0.4954 0.7463 0.7486  2 Ge 3.06-3.07
Bi 0.4954 0.7537 0.2486  2 Ge 3.06-3.07
Bi 0.5046 0.2463 0.7514  2 Ge 3.06-3.07
Bi 0.5046 0.2537 0.2514  2 Ge 3.06-3.07

## Properties
**Size of the total moment**: 0.00 μB/f.u.
**Formation energy from the elements**: -0.384 eV/f.u.
**Distance to the lowest polymorph of the same formula**: 0 meV per atom
**Energy**: -2.647 eV per atom

---

Computed, not measured: a geometry-optimized LaIn3Ag2 structure at the GGA-PBE level of DFT.

a = 8.8942 Å, b = 8.8942 Å, c = 8.8942 Å
α = 148.56°, β = 124.43°, γ = 65.26°
Closest atoms and distances in Å follow each position.
Fractional coordinates of all 12 atoms:
La 0.1317 0.1317 0.0000  8 In 3.38-3.50, 6 Ag 3.40-3.55
La 0.8683 0.8683 0.0000  8 In 3.38-3.50, 6 Ag 3.40-3.55
In 0.1253 0.3274 0.7978  3 Ag 2.81-2.95
In 0.3338 0.0000 0.3338  1 In 2.76, 2 Ag 2.79
In 0.4704 0.6726 0.7978  3 Ag 2.81-2.95
In 0.5296 0.3274 0.2022  3 Ag 2.81-2.95
In 0.6662 0.0000 0.6662  1 In 2.76, 2 Ag 2.79
In 0.8747 0.6726 0.2022  3 Ag 2.81-2.95
Ag 0.1652 0.5000 0.6652  1 Ag 2.74, 4 In 2.79-2.81
Ag 0.3053 0.8053 0.5000  8 In 2.95-3.23
Ag 0.6947 0.1947 0.5000  8 In 2.95-3.23
Ag 0.8348 0.5000 0.3348  1 Ag 2.74, 4 In 2.79-2.81

## Properties
**Size of the total moment**: 0.00 μB/f.u.
**Formation energy from the elements**: -1.637 eV/f.u.
**Distance to the lowest polymorph of the same formula**: 0 meV per atom
**Energy**: -3.414 eV per atom

---

Computed, not measured: a geometry-optimized Re2PtAu structure at the GGA-PBE level of DFT.

a = 2.7596 Å, b = 4.5657 Å, c = 4.9671 Å
α = 90.00°, β = 90.00°, γ = 90.00°
Closest atoms and distances in Å follow each position.
Fractional coordinates of all 4 atoms:
Re 0.0000 0.0000 0.0000  4 Re 2.67-2.76, 4 Pt 2.76-2.93, 4 Au 2.87
Re 0.0000 0.5000 0.2803  4 Re 2.67-2.76, 4 Au 2.80-2.88, 4 Pt 2.85
Pt 0.5000 0.0000 0.4806  2 Au 2.75, 8 Re 2.76-2.93, 2 Pt 2.76
Au 0.5000 0.5000 0.7888  2 Pt 2.75, 2 Au 2.76, 8 Re 2.80-2.88

## Properties
**Size of the total moment**: 0.00 μB/f.u.
**Formation energy from the elements**: 1.071 eV/f.u.
**Distance to the lowest polymorph of the same formula**: 196 meV per atom
**Energy**: -8.286 eV per atom

---

Computed, not measured: a geometry-optimized BaLi8Ga4 structure at the GGA-PBE level of DFT.

a = 7.3473 Å, b = 7.3473 Å, c = 7.3473 Å
α = 98.10°, β = 98.10°, γ = 135.90°
Closest atoms and distances in Å follow each position.
Fractional coordinates of all 13 atoms:
Ba 0.0000 0.0000 0.0000  12 Li 3.32-3.59, 8 Ga 3.67
Li 0.0000 0.3445 0.3445  4 Ga 2.92, 5 Li 2.93-2.99
Li 0.0000 0.6555 0.6555  4 Ga 2.92, 5 Li 2.93-2.99
Li 0.2617 0.5000 0.7617  4 Ga 2.78, 4 Li 2.93-2.94
Li 0.3445 0.0000 0.3445  4 Ga 2.92, 5 Li 2.93-2.99
Li 0.5000 0.2617 0.7617  4 Ga 2.78, 4 Li 2.93-2.94
Li 0.5000 0.7383 0.2383  4 Ga 2.78, 4 Li 2.93-2.94
Li 0.6555 0.0000 0.6555  4 Ga 2.92, 5 Li 2.93-2.99
Li 0.7383 0.5000 0.2383  4 Ga 2.78, 4 Li 2.93-2.94
Ga 0.0000 0.0000 0.5000  2 Ga 2.76, 8 Li 2.78-2.92
Ga 0.0000 0.5000 0.0000  2 Ga 2.76, 8 Li 2.78-2.92
Ga 0.5000 0.0000 0.0000  2 Ga 2.76, 8 Li 2.78-2.92
Ga 0.5000 0.5000 0.5000  2 Ga 2.76, 8 Li 2.78-2.92

## Properties
**Size of the total moment**: 0.00 μB/f.u.
**Formation energy from the elements**: -3.066 eV/f.u.
**Energy**: -2.493 eV per atom

---

Computed, not measured: a geometry-optimized LaNiW structure at the GGA-PBE level of DFT.

a = 2.9497 Å, b = 2.9497 Å, c = 7.4869 Å
α = 90.00°, β = 90.00°, γ = 120.00°
Closest atoms and distances in Å follow each position.
Fractional coordinates of all 3 atoms:
La 0.0000 0.0000 0.0000  6 La 2.95, 3 Ni 3.18
Ni 0.6667 0.3333 0.3585  3 W 2.54
W 0.3333 0.6667 0.6095  3 Ni 2.54

## Properties
**Size of the total moment**: 0.00 μB/f.u.
**Formation energy from the elements**: 1.910 eV/f.u.
**Distance to the lowest polymorph of the same formula**: 323 meV per atom
**Energy**: -7.251 eV per atom

---

Computed, not measured: a geometry-optimized MgSc2Tc structure at the GGA-PBE level of DFT.

a = 3.3129 Å, b = 3.3246 Å, c = 7.4620 Å
α = 90.00°, β = 90.35°, γ = 90.00°
Closest atoms and distances in Å follow each position.
Fractional coordinates of all 4 atoms:
Mg 0.0000 0.0000 0.0000  8 Sc 3.23-3.24, 4 Mg 3.31-3.32
Sc 0.4992 0.5000 0.7008  4 Tc 2.78-2.79, 1 Sc 3.00
Sc 0.5008 0.5000 0.2992  4 Tc 2.78-2.79, 1 Sc 3.00
Tc 0.0000 0.0000 0.5000  8 Sc 2.78-2.79

## Properties
**Size of the total moment**: 0.00 μB/f.u.
**Formation energy from the elements**: -0.808 eV/f.u.
**Energy**: -6.358 eV per atom

---

Computed, not measured: a geometry-optimized ScCdInCu structure at the GGA-PBE level of DFT.

a = 4.7749 Å, b = 4.7749 Å, c = 4.7749 Å
α = 60.00°, β = 60.00°, γ = 60.00°
Closest atoms and distances in Å follow each position.
Fractional coordinates of all 4 atoms:
Sc 0.0000 0.0000 0.0000  4 Cd 2.92, 4 Cu 2.92
Cd 0.7500 0.7500 0.7500  4 In 2.92, 4 Sc 2.92
In 0.5000 0.5000 0.5000  4 Cd 2.92, 4 Cu 2.92
Cu 0.2500 0.2500 0.2500  4 In 2.92, 4 Sc 2.92

## Properties
**Size of the total moment**: 0.00 μB/f.u.
**Formation energy from the elements**: -0.691 eV/f.u.
**Energy**: -3.693 eV per atom